## Tl3Mo4P4O22 (PBE with a Hubbard U)

Data for Tl3Mo4P4O22 after structural relaxation.

Cell lengths 10.513, 9.922, 13.040 Å; angles 49.59, 90.00, 90.00 degrees
Each line ends with the local moment (μB).
Element x y z (fractional)
O  0.881  0.934  0.055  -0.11
O  0.804  0.721  0.994  0.01
O  0.624  0.940  0.037  0.00
O  0.696  0.721  0.494  0.01
O  0.962  0.256  0.488  0.02
O  0.908  0.950  0.764  0.00
O  0.876  0.940  0.537  0.00
O  0.092  0.050  0.236  0.00
O  0.756  0.732  0.306  0.02
O  0.538  0.256  0.988  0.02
O  0.304  0.279  0.506  0.01
O  0.244  0.268  0.694  0.02
O  0.100  0.456  0.739  0.01
O  0.619  0.934  0.555  -0.11
O  0.256  0.268  0.194  0.02
O  0.462  0.744  0.012  0.02
O  0.124  0.060  0.463  0.00
O  0.376  0.060  0.963  0.00
O  0.138  0.645  0.985  0.34
O  0.378  0.421  0.797  0.01
O  0.400  0.456  0.239  0.01
O  0.408  0.050  0.736  0.00
O  0.592  0.950  0.264  0.00
O  0.818  0.991  0.296  0.02
O  0.381  0.066  0.445  -0.11
O  0.069  0.723  0.721  0.01
O  0.622  0.579  0.203  0.01
O  0.119  0.066  0.945  -0.11
O  0.931  0.277  0.279  0.01
O  0.638  0.355  0.515  0.34
O  0.182  0.009  0.704  0.02
O  0.569  0.277  0.779  0.01
O  0.862  0.355  0.015  0.34
O  0.196  0.279  0.006  0.01
O  0.038  0.744  0.512  0.02
O  0.318  0.009  0.204  0.02
O  0.744  0.732  0.806  0.02
O  0.600  0.544  0.761  0.01
O  0.362  0.645  0.485  0.34
O  0.431  0.723  0.221  0.01
O  0.682  0.991  0.796  0.02
O  0.900  0.544  0.261  0.01
O  0.122  0.421  0.297  0.01
O  0.878  0.579  0.703  0.01
Mo  0.978  0.012  0.379  1.92
Mo  0.022  0.988  0.621  1.92
Mo  0.281  0.244  0.363  1.06
Mo  0.719  0.756  0.637  1.06
Mo  0.478  0.988  0.121  1.92
Mo  0.522  0.012  0.879  1.92
Mo  0.781  0.756  0.137  1.06
Mo  0.219  0.244  0.863  1.06
P  0.282  0.151  0.660  0.01
P  0.718  0.849  0.340  0.01
P  0.021  0.625  0.669  0.01
P  0.979  0.375  0.331  0.01
P  0.782  0.849  0.840  0.01
P  0.521  0.375  0.831  0.01
P  0.218  0.151  0.160  0.01
P  0.479  0.625  0.169  0.01
Tl  0.177  0.667  0.369  0.06
Tl  0.677  0.333  0.131  0.06
Tl  0.000  0.500  0.000  0.00
Tl  0.823  0.333  0.631  0.06
Tl  0.500  0.500  0.500  0.00
Tl  0.323  0.667  0.869  0.06

## Properties
The spin magnetization comes out at 7.1 μB/f.u. The calculation puts the final energy at -443.77 eV/cell.